Below is a geometry-optimized LiZr2Cd structure, with properties calculated at the PBEsol level.

Cell and atoms, written as extended XYZ:
```
4
Lattice="1.482 0.855 10.951 -1.482 0.855 10.951 0.000 -1.711 10.951" Properties=species:S:1:pos:R:3 pbc="T T T"
Li 0.000 0.000 0.000
Zr 0.000 0.000 8.135
Zr 0.000 0.000 24.717
Cd 0.000 0.000 16.426
```

## Properties
Volume (Å³ per cell): 83
Symmetry: No. 166
Total energy (eV per atom): -5.246
Formation energy from the elements (kJ/mol of formula units): 35
Crystal system: trigonal

=====

Below is a geometry-optimized LiZr2Cd structure, with properties calculated at the PBEsol level.

Cell and atoms, written as extended XYZ:
```
4
Lattice="-1.639 2.306 5.211 1.639 -2.306 5.211 1.639 2.306 -5.211" Properties=species:S:1:pos:R:3 pbc="T T T"
Li 0.000 0.000 0.000
Zr 1.639 0.000 2.577
Zr 0.000 2.306 2.634
Cd 0.000 0.000 5.211
```

## Properties
Volume (Å³ per cell): 79
Symmetry: No. 71
Total energy (eV per atom): -5.304
Formation energy from the elements (kJ/mol of formula units): 12
Crystal system: orthorhombic

=====

Below is a geometry-optimized LiZr2Cd structure, with properties calculated at the PBEsol level.

Cell and atoms, written as extended XYZ:
```
4
Lattice="3.094 0.000 0.000 0.000 3.094 0.000 0.000 0.000 8.404" Properties=species:S:1:pos:R:3 pbc="T T T"
Li 0.000 0.000 0.000
Zr 0.000 0.000 4.461
Zr 1.547 1.547 2.270
Cd 1.547 1.547 6.735
```

## Properties
Volume (Å³ per cell): 80
Symmetry: No. 99
Total energy (eV per atom): -5.395
Formation energy from the elements (kJ/mol of formula units): -23
Crystal system: tetragonal

=====

Below is a geometry-optimized LiZr2Cd structure, with properties calculated at the PBEsol level.

Cell and atoms, written as extended XYZ:
```
4
Lattice="-2.110 2.110 4.430 2.110 -2.110 4.430 2.110 2.110 -4.430" Properties=species:S:1:pos:R:3 pbc="T T T"
Li 0.000 0.000 0.000
Zr 0.000 0.000 4.430
Zr 0.000 2.110 2.215
Cd 2.110 0.000 2.215
```

## Properties
Volume (Å³ per cell): 79
Symmetry: No. 119
Total energy (eV per atom): -5.211
Formation energy from the elements (kJ/mol of formula units): 48
Crystal system: tetragonal

=====

Below is a geometry-optimized Lu2MgCd structure, with properties calculated at the PBEsol level.

Cell and atoms, written as extended XYZ:
```
4
Lattice="0.000 3.638 3.638 3.638 0.000 3.638 3.638 3.638 0.000" Properties=species:S:1:pos:R:3 pbc="T T T"
Lu 1.819 1.819 1.819
Lu 5.456 5.456 5.456
Mg 0.000 0.000 0.000
Cd 3.638 3.638 3.638
```

## Properties
Volume (Å³ per cell): 96
Symmetry: No. 225
Total energy (eV per atom): -3.344
Formation energy from the elements (kJ/mol of formula units): -69
Crystal system: cubic

=====

Below is a geometry-optimized LuMgCd2 structure, with properties calculated at the PBEsol level.

Cell and atoms, written as extended XYZ:
```
4
Lattice="0.000 3.505 3.505 3.505 0.000 3.505 3.505 3.505 0.000" Properties=species:S:1:pos:R:3 pbc="T T T"
Lu 0.000 0.000 0.000
Mg 3.505 3.505 3.505
Cd 1.753 1.753 1.753
Cd 5.258 5.258 5.258
```

## Properties
Volume (Å³ per cell): 86
Symmetry: No. 225
Total energy (eV per atom): -2.549
Formation energy from the elements (kJ/mol of formula units): -117
Crystal system: cubic

=====

Below is a geometry-optimized LuCdNi4 structure, with properties calculated at the PBEsol level.

Cell and atoms, written as extended XYZ:
```
6
Lattice="0.000 3.428 3.428 3.428 0.000 3.428 3.428 3.428 0.000" Properties=species:S:1:pos:R:3 pbc="T T T"
Lu 0.000 0.000 0.000
Cd 1.714 1.714 1.714
Ni 4.280 2.575 2.575
Ni 2.575 4.280 2.575
Ni 2.575 2.575 4.280
Ni 4.280 4.280 4.280
```

## Properties
Volume (Å³ per cell): 81
Symmetry: No. 216
Total energy (eV per atom): -5.518
Formation energy from the elements (kJ/mol of formula units): -232
Crystal system: cubic

=====

Below is a geometry-optimized Lu4CdNi structure, with properties calculated at the PBEsol level.

Cell and atoms, written as extended XYZ:
```
24
Lattice="0.000 6.484 6.484 6.484 0.000 6.484 6.484 6.484 0.000" Properties=species:S:1:pos:R:3 pbc="T T T"
Lu 3.242 3.242 0.798
Lu 3.242 0.798 3.242
Lu 5.686 3.242 3.242
Lu 6.484 6.484 2.420
Lu 6.484 2.420 6.484
Lu 10.548 6.484 6.484
Lu 7.762 5.206 5.206
Lu 0.798 3.242 3.242
Lu 3.242 5.686 3.242
Lu 3.242 3.242 5.686
Lu 5.206 7.762 5.206
Lu 5.206 5.206 7.762
Lu 7.762 7.762 7.762
Lu 2.420 6.484 6.484
Lu 6.484 10.548 6.484
Lu 6.484 6.484 10.548
Cd 10.780 8.672 8.672
Cd 8.672 10.780 8.672
Cd 8.672 8.672 10.780
Cd 10.780 10.780 10.780
Ni 5.090 5.090 5.090
Ni 7.878 7.878 5.090
Ni 7.878 5.090 7.878
Ni 5.090 7.878 7.878
```

## Properties
Volume (Å³ per cell): 545
Symmetry: No. 216
Total energy (eV per atom): -4.813
Formation energy from the elements (kJ/mol of formula units): -196
Crystal system: cubic